The following is a DFT calculation (PBE-GGA) of HfSiClO4 after structural relaxation.

a b c (Å): 10.551 6.215 6.388
angles (deg): 90.00 103.66 90.00
Space group C2/m (No. 12)
Asymmetric unit:
Hf1 0.207 0.000 0.348 (multiplicity 4)
Si1 0.144 0.000 0.782 (multiplicity 4)
Cl1 0.026 0.500 0.360 (multiplicity 4)
O1 0.015 0.000 0.270 (multiplicity 4)
O2 0.200 0.196 0.648 (multiplicity 8)
O3 0.208 0.000 0.036 (multiplicity 4)

calculated total energy	-219.87	eV per cell
total magnetic moment	0.0	μB/f.u.